Entry 1:
The following is a PBE-GGA calculation of an optimized crystal structure of TiPtOF2, from the Alexandria database.

The structure in POSCAR format:
```
TiPtOF2
1.0
4.0405 0.0000 0.0000
0.0000 4.0405 0.0000
0.0000 0.0000 3.8527
Ti Pt O F
1 1 1 2
Direct
0.0000 0.0000 0.0000
0.5000 0.5000 0.5000
0.0000 0.0000 0.5000
0.0000 0.5000 0.0000
0.5000 0.0000 0.0000
```

Results
Fermi-level density of states = 0.7617 states/eV/atom
Formation energy without anion corrections = -1.557 eV per atom
DFT total energy = -30.42 eV for the cell shown
Offset from the most stable computed form = 0 kJ/mol of formula units



Entry 2:
The following is a PBE-GGA calculation of an optimized crystal structure of RbNa2NdCl6, from the Alexandria database.

The structure in POSCAR format:
```
RbNa2NdCl6
1.0
3.6675 2.1174 6.6720
-3.6675 2.1174 6.6720
0.0000 -4.2349 6.6720
Rb Na Nd Cl
1 2 1 6
Direct
0.0000 0.0000 0.0000
0.2813 0.2813 0.2813
0.7944 0.7944 0.7944
0.4797 0.4797 0.4797
0.0780 0.6279 0.4551
0.2102 0.5534 0.8715
0.4551 0.0780 0.6279
0.5534 0.8715 0.2102
0.6279 0.4551 0.0780
0.8715 0.2102 0.5534
```

Results
Fermi-level density of states = 0.0000 states/eV/atom
Formation energy without anion corrections = -2.033 eV per atom
DFT total energy = -39.78 eV for the cell shown



Entry 3:
The following is a PBE-GGA calculation of an optimized crystal structure of BeZnCu5, from the Alexandria database.

The structure in POSCAR format:
```
BeZnCu5
1.0
2.4916 -3.4659 0.0000
2.4916 3.4659 0.0000
0.0000 0.0000 5.1997
Be Zn Cu
1 1 5
Direct
0.0000 0.0000 0.0000
0.5000 0.5000 0.5000
0.0000 0.5000 0.2469
0.0000 0.5000 0.7531
0.5000 0.0000 0.2469
0.5000 0.0000 0.7531
0.5000 0.5000 0.0000
```

Results
Fermi-level density of states = 0.4658 states/eV/atom
DFT total energy = -24.76 eV for the cell shown



Entry 4:
The following is a PBE-GGA calculation of an optimized crystal structure of TiSb2P, from the Alexandria database.

The structure in POSCAR format:
```
TiSb2P
1.0
-3.1418 3.1418 6.0894
3.1418 -3.1418 6.0894
3.1418 3.1418 -6.0894
Ti Sb P
2 4 2
Direct
0.0000 0.0000 0.0000
0.7500 0.2500 0.5000
0.1334 0.6250 0.0084
0.3750 0.3834 0.5084
0.6166 0.1250 0.9916
0.8750 0.8666 0.4916
0.2500 0.7500 0.5000
0.5000 0.5000 0.0000
```

Results
Fermi-level density of states = 0.9751 states/eV/atom
Formation energy without anion corrections = 0.331 eV per atom
DFT total energy = -40.45 eV for the cell shown



Entry 5:
The following is a PBE-GGA calculation of an optimized crystal structure of LiTmAlPb, from the Alexandria database.

The structure in POSCAR format:
```
LiTmAlPb
1.0
0.0000 3.5873 3.5873
3.5873 0.0000 3.5873
3.5873 3.5873 0.0000
Li Tm Al Pb
1 1 1 1
Direct
0.0000 0.0000 0.0000
0.5000 0.5000 0.5000
0.7500 0.7500 0.7500
0.2500 0.2500 0.2500
```

Results
Fermi-level density of states = 0.5377 states/eV/atom
DFT total energy = -14.63 eV for the cell shown



Entry 6:
The following is a PBE-GGA calculation of an optimized crystal structure of Hf4FeS, from the Alexandria database.

The structure in POSCAR format:
```
Hf4FeS
1.0
6.3254 -1.6562 0.0000
6.3254 1.6562 0.0000
-2.7726 0.0000 5.5960
Hf Fe S
4 1 1
Direct
0.1374 0.1374 0.3256
0.3594 0.3594 0.1981
0.6406 0.6406 0.8019
0.8626 0.8626 0.6744
0.0000 0.0000 0.5000
0.5000 0.5000 0.0000
```

Results
Fermi-level density of states = 0.7442 states/eV/atom
Formation energy without anion corrections = -0.365 eV per atom
DFT total energy = -54.59 eV for the cell shown



Entry 7:
The following is a PBE-GGA calculation of an optimized crystal structure of BaNi4As, from the Alexandria database.

The structure in POSCAR format:
```
BaNi4As
1.0
0.0000 3.6441 3.6441
3.6441 0.0000 3.6441
3.6441 3.6441 0.0000
Ba Ni As
1 4 1
Direct
0.0000 0.0000 0.0000
0.1321 0.6226 0.6226
0.6226 0.1321 0.6226
0.6226 0.6226 0.1321
0.6226 0.6226 0.6226
0.2500 0.2500 0.2500
```

Results
Fermi-level density of states = 1.3977 states/eV/atom
DFT total energy = -28.35 eV for the cell shown



Entry 8:
The following is a PBE-GGA calculation of an optimized crystal structure of TaTcPt, from the Alexandria database.

The structure in POSCAR format:
```
TaTcPt
1.0
-1.3674 2.0293 4.3338
1.3674 -2.0293 4.3338
1.3674 2.0293 -4.3338
Ta Tc Pt
1 1 1
Direct
0.0000 0.0000 0.0000
0.6640 0.6640 0.0000
0.3280 0.3280 0.0000
```

Results
Fermi-level density of states = 1.0908 states/eV/atom
DFT total energy = -29.01 eV for the cell shown
Offset from the most stable computed form = 0 kJ/mol of formula units